## one
# PBE-GGA Ag3PbF8, optimized geometry
data_Ag3PbF8
_space_group_name_H-M_alt 'C 2 2 2'
_space_group_IT_number 21
_cell_length_a 5.738
_cell_length_b 11.357
_cell_length_c 7.084
_cell_angle_alpha 90.00
_cell_angle_beta 90.00
_cell_angle_gamma 90.00
loop_
_space_group_symop_operation_xyz
'x,y,z'
'-x,-y,z'
'x,-y,-z'
'-x,y,-z'
'x+1/2,y+1/2,z'
'-x+1/2,-y+1/2,z'
'x+1/2,-y+1/2,-z'
'-x+1/2,y+1/2,-z'
loop_
_atom_site_label
_atom_site_fract_x
_atom_site_fract_y
_atom_site_fract_z
_atom_site_occupancy
Ag1 0.000 0.000 0.000 1
Ag2 0.250 0.250 0.765 1
Pb1 0.000 0.000 0.500 1
F1 0.000 0.190 0.500 1
F2 0.000 0.191 0.000 1
F3 0.249 0.019 0.716 1
# - total moment (μB/cell) = 1.50
# - calculated density (Mg/m³) = 4.91
# - Fermi-level density of states (states/eV per cell) = 11.21


## two
# PBE-GGA Ag3PbF8, optimized geometry
data_Ag3PbF8
_space_group_name_H-M_alt 'P -3'
_space_group_IT_number 147
_cell_length_a 5.6358
_cell_length_b 5.6358
_cell_length_c 6.8324
_cell_angle_alpha 90.00
_cell_angle_beta 90.00
_cell_angle_gamma 120.00
loop_
_space_group_symop_operation_xyz
'x,y,z'
'-x,-y,-z'
'-y,x-y,z'
'y,-x+y,-z'
'-x+y,-x,z'
'x-y,x,-z'
loop_
_atom_site_label
_atom_site_fract_x
_atom_site_fract_y
_atom_site_fract_z
_atom_site_occupancy
Ag1 0.0000 0.0000 0.0000 1
Ag2 0.3333 0.6667 0.1477 1
Pb1 0.0000 0.0000 0.5000 1
F1 0.0779 0.3294 0.8072 1
F2 0.3333 0.6667 0.4538 1
# - total moment (μB/cell) = 3.01
# - calculated density (Mg/m³) = 6.03
# - Fermi-level density of states (states/eV per cell) = 5.11


The winner here is one, beating the second structure by 0.214 eV/atom.